ScFeSb | PBE | relaxed

Cell and atoms, written as extended XYZ:
```
3
Lattice="3.348 0.000 0.000 -1.674 2.899 0.000 0.000 0.000 6.203" Properties=species:S:1:pos:R:3 pbc="T T T"
Sc 0.000 0.000 0.000
Fe 1.674 0.966 1.912
Sb 0.000 1.933 3.702
```

Computed properties:
- Calculated total energy: -6.285 eV/atom
- DOS at the Fermi energy: 2.5 states/eV/cell
- Space-group type: P3m1 (156)
- ΔE_f (raw): 21 meV per atom

---

SiHgBr2 | PBE | relaxed

Cell and atoms, written as extended XYZ:
```
4
Lattice="-2.155 2.155 5.588 2.155 -2.155 5.588 2.155 2.155 -5.588" Properties=species:S:1:pos:R:3 pbc="T T T"
Si 0.000 0.000 0.000
Hg 0.000 2.155 2.794
Br 2.155 0.000 2.794
Br 0.000 0.000 5.588
```

Computed properties:
- Calculated total energy: -1.938 eV/atom
- DOS at the Fermi energy: 0.7 states/eV/cell
- Space-group type: I-4m2 (119)
- ΔE_f (raw): 329 meV per atom

---

Li3InO | PBE | relaxed

Cell and atoms, written as extended XYZ:
```
5
Lattice="4.093 0.000 0.000 0.000 4.093 0.000 0.000 0.000 4.093" Properties=species:S:1:pos:R:3 pbc="T T T"
Li 0.000 0.000 2.046
Li 0.000 2.046 0.000
Li 2.046 0.000 0.000
In 2.046 2.046 2.046
O 0.000 0.000 0.000
```

Computed properties:
- Calculated total energy: -3.594 eV/atom
- DOS at the Fermi energy: 1.8 states/eV/cell
- Space-group type: Pm-3m (221)
- ΔE_f (raw): -906 meV per atom

---

PuHgRh | PBE | relaxed

Cell and atoms, written as extended XYZ:
```
6
Lattice="2.205 -4.931 0.000 2.205 4.931 0.000 0.000 0.000 5.918" Properties=species:S:1:pos:R:3 pbc="T T T"
Pu 2.205 2.964 4.439
Pu 2.205 -2.964 1.480
Hg 2.205 0.000 0.000
Hg 2.205 0.000 2.959
Rh 2.205 3.827 1.480
Rh 2.205 -3.827 4.439
```

Computed properties:
- Calculated total energy: -7.592 eV/atom
- DOS at the Fermi energy: 19.1 states/eV/cell
- Space-group type: Cmcm (63)

---

Calculated volume: 20.07, 25.96, 13.71, 21.45 (A^3/atom)